A plane-wave DFT calculation with PBE was carried out for a geometry-optimized AcCeAs2Pt2 structure.

- Spin magnetization: 0.924 Bohr magnetons per cell
- Energy relative to the elements: -1.236 eV per atom

Lattice parameters (Å, degrees): 4.3949 4.3949 8.2480 90.00 90.00 120.00
Space group P-3m1 (No. 164)
One atom of each set of equivalent atoms:
Ac1 0.0000 0.0000 0.0000 [1 per cell]
Ce1 0.0000 0.0000 0.5000 [1 per cell]
As1 0.3333 0.6667 0.2559 [2 per cell]
Pt1 0.3333 0.6667 0.7254 [2 per cell]